Entry 1:
# Tb3Pm13

A geometry-optimized Tb3Pm13 structure (PBE-GGA, Alexandria via LeMat-Bulk).

Calculated values
For the total DFT energy (no corrections), the calculation gives -4.71 eV per atom. The crystal system is orthorhombic. The calculation puts the distance to the lowest polymorph of the same formula at 0 meV/atom.

Cell lengths 7.2708, 7.2708, 10.2625 Å; angles 90.00, 90.00, 90.00 degrees
With the nearest neighbours (Å) after each atom.
Atoms (fractional coordinates):
Tb  0.9994  0.0006  0.2493  1 Tb 3.61, 11 Pm 3.62-3.64
Tb  0.7511  0.2489  0.0000  2 Tb 3.61, 10 Pm 3.62-3.65
Tb  0.9994  0.0006  0.7507  1 Tb 3.61, 11 Pm 3.62-3.64
Pm  0.5005  0.0006  0.2493  3 Tb 3.62-3.64, 9 Pm 3.63-3.64
Pm  0.5006  0.4994  0.2493  11 Pm 3.63-3.65, 1 Tb 3.63
Pm  0.9994  0.4995  0.2493  3 Tb 3.62-3.64, 9 Pm 3.63-3.64
Pm  0.7511  0.7512  0.0000  4 Tb 3.62-3.65, 8 Pm 3.62-3.65
Pm  0.2488  0.2489  0.0000  4 Tb 3.62-3.65, 8 Pm 3.62-3.65
Pm  0.2489  0.7511  0.0000  10 Pm 3.62-3.65, 2 Tb 3.62
Pm  0.5005  0.0006  0.7507  3 Tb 3.62-3.64, 9 Pm 3.63-3.64
Pm  0.5006  0.4994  0.7507  11 Pm 3.63-3.65, 1 Tb 3.63
Pm  0.9994  0.4995  0.7507  3 Tb 3.62-3.64, 9 Pm 3.63-3.64
Pm  0.7511  0.2489  0.5000  10 Pm 3.62-3.65, 2 Tb 3.62
Pm  0.7512  0.7510  0.5000  10 Pm 3.62-3.65, 2 Tb 3.63
Pm  0.2490  0.2488  0.5000  10 Pm 3.62-3.65, 2 Tb 3.63
Pm  0.2490  0.7510  0.5000  10 Pm 3.62-3.65, 2 Tb 3.63

---

Entry 2:
# TbPm3

A geometry-optimized TbPm3 structure (PBE-GGA, Alexandria via LeMat-Bulk).

Calculated values
For the total DFT energy (no corrections), the calculation gives -4.70 eV per atom. The crystal system is cubic. The calculation puts the distance to the lowest polymorph of the same formula at 16 meV/atom.

Cell lengths 5.1277, 5.1277, 5.1277 Å; angles 90.00, 90.00, 90.00 degrees
With the nearest neighbours (Å) after each atom.
Atoms (fractional coordinates):
Tb  0.0000  0.0000  0.0000  12 Pm 3.63
Pm  0.0000  0.5000  0.5000  8 Pm 3.63, 4 Tb 3.63
Pm  0.5000  0.0000  0.5000  8 Pm 3.63, 4 Tb 3.63
Pm  0.5000  0.5000  0.0000  8 Pm 3.63, 4 Tb 3.63

---

Entry 3:
# TbPm3

A geometry-optimized TbPm3 structure (PBE-GGA, Alexandria via LeMat-Bulk).

Calculated values
For the total DFT energy (no corrections), the calculation gives -4.69 eV per atom. The crystal system is orthorhombic. The calculation puts the distance to the lowest polymorph of the same formula at 28 meV/atom.

Cell lengths 3.6696, 6.3463, 6.9071 Å; angles 117.35, 105.41, 90.00 degrees
With the nearest neighbours (Å) after each atom.
Atoms (fractional coordinates):
Tb  0.0000  0.0016  0.0000  10 Pm 3.61-3.67, 2 Tb 3.67
Pm  0.2511  0.5833  0.5022  9 Pm 3.59-3.67, 3 Tb 3.61
Pm  0.5000  0.5006  0.0000  8 Pm 3.59-3.67, 4 Tb 3.66-3.67
Pm  0.7489  0.0811  0.4978  9 Pm 3.59-3.67, 3 Tb 3.61

---

Entry 4:
# TbPm5

A geometry-optimized TbPm5 structure (PBE-GGA, Alexandria via LeMat-Bulk).

Calculated values
For the total DFT energy (no corrections), the calculation gives -4.72 eV per atom. The crystal system is orthorhombic.

Cell lengths 5.1379, 5.1371, 8.1366 Å; angles 108.40, 90.00, 90.00 degrees
With the nearest neighbours (Å) after each atom.
Atoms (fractional coordinates):
Tb  0.0000  0.0000  0.0000  12 Pm 3.63
Pm  0.0000  0.6659  0.3317  2 Tb 3.63, 10 Pm 3.63-3.65
Pm  0.0000  0.3341  0.6683  2 Tb 3.63, 10 Pm 3.63-3.65
Pm  0.5000  0.5000  0.0000  8 Pm 3.63, 4 Tb 3.63
Pm  0.5000  0.1664  0.3327  10 Pm 3.63-3.65, 2 Tb 3.63
Pm  0.5000  0.8336  0.6673  10 Pm 3.63-3.65, 2 Tb 3.63

---

Entry 5:
# Tb6Pm5

A geometry-optimized Tb6Pm5 structure (PBE-GGA, Alexandria via LeMat-Bulk).

Calculated values
For the total DFT energy (no corrections), the calculation gives -4.57 eV per atom. The crystal system is orthorhombic. The calculation puts the distance to the lowest polymorph of the same formula at 0 meV/atom.

Cell lengths 5.6202, 9.9458, 9.4404 Å; angles 121.79, 107.31, 55.60 degrees
With the nearest neighbours (Å) after each atom.
Atoms (fractional coordinates):
Tb  0.7057  0.7942  0.0000  5 Tb 3.38-3.56, 6 Pm 3.55-3.71
Tb  0.2943  0.2058  0.0000  5 Tb 3.38-3.56, 6 Pm 3.55-3.71
Tb  0.7947  0.0688  0.7272  5 Pm 3.26-3.65, 3 Tb 3.37-3.56
Tb  0.2053  0.6584  0.7272  5 Pm 3.26-3.65, 3 Tb 3.37-3.56
Tb  0.2053  0.9312  0.2728  5 Pm 3.26-3.65, 3 Tb 3.37-3.56
Tb  0.7947  0.3416  0.2728  5 Pm 3.26-3.65, 3 Tb 3.37-3.56
Pm  0.5000  0.5000  0.0000  4 Tb 3.26
Pm  0.0000  0.6619  0.3237  8 Tb 3.55-3.73, 4 Pm 3.59-3.83
Pm  0.0000  0.3381  0.6763  8 Tb 3.55-3.73, 4 Pm 3.59-3.83
Pm  0.5000  0.8006  0.6012  8 Tb 3.43-3.62, 2 Pm 3.59
Pm  0.5000  0.1994  0.3988  8 Tb 3.43-3.62, 2 Pm 3.59

---

Entry 6:
# Tb2Pm

A geometry-optimized Tb2Pm structure (PBE-GGA, Alexandria via LeMat-Bulk).

Calculated values
For the total DFT energy (no corrections), the calculation gives -4.66 eV per atom. The crystal system is trigonal. The calculation puts the distance to the lowest polymorph of the same formula at 0 meV/atom.

Cell lengths 3.6048, 3.6048, 17.5730 Å; angles 84.11, 84.11, 60.00 degrees
With the nearest neighbours (Å) after each atom.
Atoms (fractional coordinates):
Tb  0.8061  0.8061  0.5817  9 Tb 3.53-3.60, 3 Pm 3.59
Tb  0.1939  0.1939  0.4183  9 Tb 3.53-3.60, 3 Pm 3.59
Tb  0.3609  0.3609  0.9174  9 Tb 3.56-3.60, 3 Pm 3.59
Tb  0.6391  0.6391  0.0826  9 Tb 3.56-3.60, 3 Pm 3.59
Pm  0.9165  0.9165  0.2505  6 Tb 3.59, 6 Pm 3.60
Pm  0.0835  0.0835  0.7495  6 Tb 3.59, 6 Pm 3.60

---

Entry 7:
# Tb5Pm6

A geometry-optimized Tb5Pm6 structure (PBE-GGA, Alexandria via LeMat-Bulk).

Calculated values
For the total DFT energy (no corrections), the calculation gives -4.57 eV per atom. The crystal system is monoclinic. The calculation puts the distance to the lowest polymorph of the same formula at 15 meV/atom.

Cell lengths 10.2998, 8.4687, 6.1118 Å; angles 73.47, 62.10, 52.55 degrees
With the nearest neighbours (Å) after each atom.
Atoms (fractional coordinates):
Tb  0.5000  0.0000  0.5000  6 Tb 3.53-3.58, 6 Pm 3.53-3.54
Tb  0.3689  0.2621  0.0000  5 Tb 3.52-3.56, 6 Pm 3.55-3.58
Tb  0.6311  0.7379  0.0000  5 Tb 3.52-3.56, 6 Pm 3.55-3.58
Tb  0.2334  0.5331  0.5000  6 Pm 3.49-3.57, 3 Tb 3.56-3.58
Tb  0.7666  0.4669  0.5000  6 Pm 3.49-3.57, 3 Tb 3.56-3.58
Pm  0.8182  0.0000  0.5792  5 Pm 3.40-3.67, 5 Tb 3.53-3.57
Pm  0.1818  0.0000  0.4208  5 Pm 3.40-3.67, 5 Tb 3.53-3.57
Pm  0.3212  0.7261  0.9000  5 Pm 3.40-3.76, 5 Tb 3.49-3.58
Pm  0.9527  0.7261  0.1000  5 Pm 3.40-3.76, 5 Tb 3.49-3.58
Pm  0.6788  0.2739  0.1000  5 Pm 3.40-3.76, 5 Tb 3.49-3.58
Pm  0.0473  0.2739  0.9000  5 Pm 3.40-3.76, 5 Tb 3.49-3.58

---

Entry 8:
# Tb5Pm4

A geometry-optimized Tb5Pm4 structure (PBE-GGA, Alexandria via LeMat-Bulk).

Calculated values
For the total DFT energy (no corrections), the calculation gives -4.67 eV per atom. The crystal system is monoclinic. The calculation puts the distance to the lowest polymorph of the same formula at 0 meV/atom.

Cell lengths 5.0823, 8.0567, 8.0567 Å; angles 84.22, 71.54, 71.54 degrees
With the nearest neighbours (Å) after each atom.
Atoms (fractional coordinates):
Tb  0.0000  0.0010  0.9990  6 Tb 3.58-3.61, 6 Pm 3.60-3.61
Tb  0.0000  0.3323  0.6677  6 Tb 3.58-3.61, 6 Pm 3.60-3.61
Tb  0.0000  0.6667  0.3333  8 Pm 3.60, 4 Tb 3.61
Tb  0.3343  0.3323  0.9990  6 Tb 3.58-3.61, 6 Pm 3.60-3.61
Tb  0.6657  0.0010  0.6677  6 Tb 3.58-3.61, 6 Pm 3.60-3.61
Pm  0.3334  0.6666  0.6665  8 Tb 3.60-3.61, 4 Pm 3.60
Pm  0.3334  0.9999  0.3332  8 Tb 3.60-3.61, 4 Pm 3.60
Pm  0.6666  0.6668  0.0001  8 Tb 3.60-3.61, 4 Pm 3.60
Pm  0.6666  0.3335  0.3334  8 Tb 3.60-3.61, 4 Pm 3.60